Density functional theory data (GGA-PBE) for Tb3Nd6Ho2 after structural relaxation.

Structure (CIF):
```
data_Tb3Nd6Ho2
_chemical_formula_sum 'Tb3 Nd6 Ho2'
_space_group_name_H-M_alt 'P -1'
_space_group_IT_number 2
_space_group_name_Hall '-P 1'
_cell_length_a 6.158
_cell_length_b 6.812
_cell_length_c 9.873
_cell_angle_alpha 89.19
_cell_angle_beta 89.12
_cell_angle_gamma 64.20
loop_
_atom_site_label
_atom_site_type_symbol
_atom_site_fract_x
_atom_site_fract_y
_atom_site_fract_z
_atom_site_occupancy
Tb1 Tb 0.000 0.000 0.000 1
Tb2 Tb 0.158 0.821 0.634 1
Nd1 Nd 0.252 0.646 0.275 1
Nd2 Nd 0.289 0.274 0.547 1
Nd3 Nd 0.398 0.108 0.184 1
Ho1 Ho 0.230 0.449 0.898 1
```

Summary:
**Calculated volume**: 33.89 Å³/atom
**Electronic total energy**: -4.617 eV/atom
**Formation enthalpy at 0 K**: 0.08 eV/atom
**Spin magnetization**: 0.0 μB/f.u.
**E above lowest polymorph**: 0 meV per atom